Material: LaPrAl2
Method: DFT, PBE
State: relaxed

## Properties
As for the energy relative to the lowest polymorph listed for this composition: 2.5 meV per atom. The crystal system is orthorhombic. The space group is Amm2 (38).

Lattice parameters (Å, degrees): 5.767 6.089 6.089 101.24 90.00 90.00
Fractional coordinates of all 8 atoms:
La: 0.000 0.178 0.822
La: 0.000 0.822 0.178
Pr: 0.500 0.144 0.503
Pr: 0.500 0.503 0.144
Al: 0.000 0.359 0.359
Al: 0.250 0.661 0.661
Al: 0.500 0.966 0.966
Al: 0.750 0.661 0.661

---

Material: LuGaGe
Method: DFT, PBE
State: relaxed

## Properties
Its energy is -4.25 eV per atom. The crystal system is cubic. The space group is F-43m (216).

Lattice parameters (Å, degrees): 4.611 4.611 4.611 60.00 60.00 60.00
Fractional coordinates of all 3 atoms:
Lu: 0.000 0.000 0.000
Ga: 0.500 0.500 0.500
Ge: 0.750 0.750 0.750

---

Material: NaLuMgSe3
Method: DFT, PBE
State: relaxed

## Properties
As for the energy relative to the lowest polymorph listed for this composition: 20.2 meV per atom. The crystal system is orthorhombic. The space group is Cmcm (63).

Lattice parameters (Å, degrees): 7.194 7.194 10.968 90.00 90.00 146.99
Fractional coordinates of all 12 atoms:
Na: 0.250 0.750 0.750
Na: 0.750 0.250 0.250
Lu: 0.000 0.000 0.000
Lu: 0.000 0.000 0.500
Mg: 0.470 0.530 0.250
Mg: 0.530 0.470 0.750
Se: 0.082 0.918 0.250
Se: 0.367 0.633 0.061
Se: 0.367 0.633 0.439
Se: 0.633 0.367 0.561
Se: 0.633 0.367 0.939
Se: 0.918 0.082 0.750

---

Material: NbTlCuHg
Method: DFT, PBE
State: relaxed

## Properties
As for the energy relative to the lowest polymorph listed for this composition: 0.0 meV per atom. The crystal system is cubic. The space group is F-43m (216).

Lattice parameters (Å, degrees): 4.786 4.786 4.786 60.00 60.00 60.00
Fractional coordinates of all 4 atoms:
Nb: 0.000 0.000 0.000
Tl: 0.250 0.250 0.250
Cu: 0.500 0.500 0.500
Hg: 0.750 0.750 0.750

---

Material: YHoInTe3
Method: DFT, PBE
State: relaxed

## Properties
As for the energy relative to the lowest polymorph listed for this composition: 2.1 meV per atom. The crystal system is orthorhombic. The space group is Cmcm (63).

Lattice parameters (Å, degrees): 7.888 7.888 12.007 90.00 90.00 148.22
Fractional coordinates of all 12 atoms:
Y: 0.081 0.919 0.750
Y: 0.919 0.081 0.250
Ho: 0.500 0.500 0.000
Ho: 0.500 0.500 0.500
In: 0.241 0.759 0.250
In: 0.759 0.241 0.750
Te: 0.145 0.855 0.519
Te: 0.145 0.855 0.981
Te: 0.441 0.559 0.750
Te: 0.559 0.441 0.250
Te: 0.855 0.145 0.019
Te: 0.855 0.145 0.481

---

Material: CsZn2Cd2As3
Method: DFT, PBE
State: relaxed

## Properties
As for the energy relative to the lowest polymorph listed for this composition: 16.2 meV per atom. The crystal system is tetragonal. The space group is P-4m2 (115).

Lattice parameters (Å, degrees): 4.412 4.412 10.897 90.00 90.00 90.00
Fractional coordinates of all 8 atoms:
Cs: 0.000 0.000 0.000
Zn: 0.000 0.500 0.334
Zn: 0.500 0.000 0.666
Cd: 0.000 0.500 0.652
Cd: 0.500 0.000 0.348
As: 0.000 0.000 0.500
As: 0.500 0.500 0.208
As: 0.500 0.500 0.792

---

Material: LuAgPd
Method: DFT, PBE
State: relaxed

## Properties
As for the energy relative to the lowest polymorph listed for this composition: 310.1 meV per atom. The crystal system is cubic. The space group is F-43m (216). For the calculated formation energy, the calculation gives -0.1794 eV per atom.

Lattice parameters (Å, degrees): 4.599 4.599 4.599 60.00 60.00 60.00
Fractional coordinates of all 3 atoms:
Lu: 0.000 0.000 0.000
Ag: 0.750 0.750 0.750
Pd: 0.250 0.250 0.250

---

Material: SmYBiO2
Method: DFT, PBE
State: relaxed

## Properties
Its energy is -7.67 eV per atom. The crystal system is tetragonal. The space group is I4mm (107).

Lattice parameters (Å, degrees): 7.343 7.343 7.343 149.05 149.05 44.33
Fractional coordinates of all 5 atoms:
Sm: 0.000 0.000 0.000
Y: 0.667 0.667 0.000
Bi: 0.333 0.333 0.000
O: 0.087 0.587 0.500
O: 0.587 0.087 0.500

---

Material: Hf4AlSN2
Method: DFT, PBE
State: relaxed

## Properties
Its energy is -9.35 eV per atom. The crystal system is hexagonal. The space group is P-6m2 (187).

Lattice parameters (Å, degrees): 3.250 3.250 13.128 90.00 90.00 120.00
Fractional coordinates of all 8 atoms:
Hf: 0.000 0.000 0.139
Hf: 0.000 0.000 0.861
Hf: 0.333 0.667 0.328
Hf: 0.333 0.667 0.672
Al: 0.000 0.000 0.500
S: 0.333 0.667 0.000
N: 0.667 0.333 0.235
N: 0.667 0.333 0.765

---

Material: PrPaNO
Method: DFT, PBE
State: relaxed

## Properties
As for the energy relative to the lowest polymorph listed for this composition: 360.0 meV per atom. The crystal system is tetragonal. The space group is P4/nmm (129).

Lattice parameters (Å, degrees): 4.284 4.284 8.689 90.00 90.00 90.00
Fractional coordinates of all 8 atoms:
Pr: 0.250 0.250 0.122
Pr: 0.750 0.750 0.878
Pa: 0.250 0.750 0.500
Pa: 0.750 0.250 0.500
N: 0.250 0.250 0.621
N: 0.750 0.750 0.379
O: 0.250 0.750 0.000
O: 0.750 0.250 0.000

---

Material: SmGaW
Method: DFT, PBE
State: relaxed

## Properties
As for the energy relative to the lowest polymorph listed for this composition: 786.3 meV per atom. The crystal system is cubic. The space group is F-43m (216).

Lattice parameters (Å, degrees): 4.824 4.824 4.824 60.00 60.00 60.00
Fractional coordinates of all 3 atoms:
Sm: 0.000 0.000 0.000
Ga: 0.750 0.750 0.750
W: 0.250 0.250 0.250

---

Material: Tm3AlC
Method: DFT, PBE
State: relaxed

## Properties
Its energy is -5.73 eV per atom. The crystal system is cubic. The space group is Pm-3m (221).

Lattice parameters (Å, degrees): 4.793 4.793 4.793 90.00 90.00 90.00
Fractional coordinates of all 5 atoms:
Tm: 0.000 0.000 0.500
Tm: 0.000 0.500 0.000
Tm: 0.500 0.000 0.000
Al: 0.500 0.500 0.500
C: 0.000 0.000 0.000

---

Material: BaNaHg6
Method: DFT, PBE
State: relaxed

## Properties
Its energy is -0.93 eV per atom. The crystal system is orthorhombic. The space group is Amm2 (38).

Lattice parameters (Å, degrees): 5.402 7.080 7.080 60.02 90.00 90.00
Fractional coordinates of all 8 atoms:
Ba: 0.000 0.000 0.000
Na: 0.500 0.669 0.669
Hg: 0.000 0.502 0.997
Hg: 0.000 0.506 0.506
Hg: 0.000 0.997 0.502
Hg: 0.500 0.183 0.183
Hg: 0.500 0.185 0.635
Hg: 0.500 0.635 0.185

---

Material: LiBeTlNi
Method: DFT, PBE
State: relaxed

## Properties
As for the energy relative to the lowest polymorph listed for this composition: 0.0 meV per atom. The crystal system is cubic. The space group is F-43m (216).

Lattice parameters (Å, degrees): 4.259 4.259 4.259 60.00 60.00 60.00
Fractional coordinates of all 4 atoms:
Li: 0.000 0.000 0.000
Be: 0.750 0.750 0.750
Tl: 0.250 0.250 0.250
Ni: 0.500 0.500 0.500

---

Material: IrPdAu
Method: DFT, PBE
State: relaxed

## Properties
As for the energy relative to the lowest polymorph listed for this composition: 0.0 meV per atom. The crystal system is cubic. The space group is F-43m (216). For the calculated formation energy, the calculation gives 0.6911 eV per atom.

Lattice parameters (Å, degrees): 4.330 4.330 4.330 60.00 60.00 60.00
Fractional coordinates of all 3 atoms:
Ir: 0.000 0.000 0.000
Pd: 0.250 0.250 0.250
Au: 0.750 0.750 0.750

---

Material: GdHo2In3Cu2Ni
Method: DFT, PBE
State: relaxed

## Properties
Its energy is -4.34 eV per atom. The crystal system is orthorhombic. The space group is Amm2 (38).

Lattice parameters (Å, degrees): 3.900 7.444 7.444 119.96 90.00 90.00
Fractional coordinates of all 9 atoms:
Gd: 0.000 0.000 0.000
Ho: 0.000 0.407 0.815
Ho: 0.000 0.815 0.407
In: 0.500 0.156 0.409
In: 0.500 0.409 0.156
In: 0.500 0.660 0.660
Cu: 0.500 0.076 0.740
Cu: 0.500 0.740 0.076
Ni: 0.000 0.410 0.410

---

Material: Ho4BClO7
Method: DFT, PBE
State: relaxed

## Properties
Its energy is -8.05 eV per atom. The crystal system is monoclinic. The space group is P2_1/c (14).

Lattice parameters (Å, degrees): 8.513 7.980 12.163 90.00 120.09 90.00
Fractional coordinates of all 52 atoms:
Ho: 0.071 0.138 0.420
Ho: 0.071 0.362 0.920
Ho: 0.076 0.618 0.409
Ho: 0.076 0.882 0.909
Ho: 0.298 0.126 0.779
Ho: 0.298 0.374 0.279
Ho: 0.318 0.614 0.780
Ho: 0.318 0.886 0.280
Ho: 0.682 0.114 0.720
Ho: 0.682 0.386 0.220
Ho: 0.702 0.626 0.721
Ho: 0.702 0.874 0.221
Ho: 0.924 0.118 0.091
Ho: 0.924 0.382 0.591
Ho: 0.929 0.638 0.080
Ho: 0.929 0.862 0.580
B: 0.369 0.130 0.086
B: 0.369 0.370 0.586
B: 0.631 0.630 0.414
B: 0.631 0.870 0.914
Cl: 0.382 0.648 0.032
Cl: 0.382 0.852 0.532
Cl: 0.618 0.148 0.468
Cl: 0.618 0.352 0.968
O: 0.039 0.122 0.597
O: 0.039 0.378 0.097
O: 0.073 0.622 0.593
O: 0.073 0.878 0.093
O: 0.179 0.117 0.282
O: 0.179 0.383 0.782
O: 0.191 0.637 0.274
O: 0.191 0.863 0.774
O: 0.275 0.111 0.956
O: 0.275 0.389 0.456
O: 0.386 0.210 0.634
O: 0.386 0.290 0.134
O: 0.435 0.506 0.665
O: 0.435 0.994 0.165
O: 0.565 0.006 0.835
O: 0.565 0.494 0.335
O: 0.614 0.710 0.866
O: 0.614 0.790 0.366
O: 0.725 0.611 0.544
O: 0.725 0.889 0.044
O: 0.809 0.137 0.226
O: 0.809 0.363 0.726
O: 0.821 0.617 0.218
O: 0.821 0.883 0.718
O: 0.927 0.122 0.907
O: 0.927 0.378 0.407
O: 0.961 0.622 0.903
O: 0.961 0.878 0.403

---

Material: Al2Cu
Method: DFT, PBE
State: relaxed

## Properties
Its energy is -2.79 eV per atom. The crystal system is cubic. The space group is Fd-3m (227).

Lattice parameters (Å, degrees): 7.362 7.362 7.362 60.00 60.00 60.00
Fractional coordinates of all 6 atoms:
Al: 0.000 0.000 0.000
Al: 0.000 0.000 0.500
Al: 0.000 0.500 0.000
Al: 0.500 0.000 0.000
Cu: 0.125 0.125 0.125
Cu: 0.875 0.875 0.875

---

Material: HoAlPdPt
Method: DFT, PBE
State: relaxed

## Properties
As for the energy relative to the lowest polymorph listed for this composition: 7.1 meV per atom. The crystal system is hexagonal. The space group is P-6m2 (187).

Lattice parameters (Å, degrees): 4.347 4.347 9.158 90.00 90.00 120.00
Fractional coordinates of all 8 atoms:
Ho: 0.000 0.000 0.000
Ho: 0.333 0.667 0.500
Al: 0.667 0.333 0.256
Al: 0.667 0.333 0.744
Pd: 0.333 0.667 0.165
Pd: 0.333 0.667 0.835
Pt: 0.000 0.000 0.327
Pt: 0.000 0.000 0.673

---

Material: Nb2Co
Method: DFT, PBE
State: relaxed

## Properties
The crystal system is cubic. The space group is Fd-3m (227). For the calculated formation energy, the calculation gives 0.6745 eV per atom.

Lattice parameters (Å, degrees): 5.238 5.238 5.238 60.00 60.00 60.00
Fractional coordinates of all 6 atoms:
Nb: 0.000 0.000 0.000
Nb: 0.000 0.000 0.500
Nb: 0.000 0.500 0.000
Nb: 0.500 0.000 0.000
Co: 0.375 0.375 0.375
Co: 0.625 0.625 0.625

---

Material: LiSc2Pt
Method: DFT, PBE
State: relaxed

## Properties
As for the energy relative to the lowest polymorph listed for this composition: 77.3 meV per atom. The crystal system is tetragonal. The space group is P4/mmm (123).

Lattice parameters (Å, degrees): 4.577 4.577 3.444 90.00 90.00 90.00
Fractional coordinates of all 4 atoms:
Li: 0.000 0.000 0.000
Sc: 0.000 0.500 0.500
Sc: 0.500 0.000 0.500
Pt: 0.500 0.500 0.000

---

Material: Cu2CSe3
Method: DFT, PBE
State: relaxed

## Properties
As for the energy relative to the lowest polymorph listed for this composition: 0.0 meV per atom. The crystal system is monoclinic. The space group is Cc (9).

Lattice parameters (Å, degrees): 6.363 6.363 7.064 99.27 99.27 119.77
Fractional coordinates of all 12 atoms:
Cu: 0.081 0.919 0.500
Cu: 0.253 0.752 0.002
Cu: 0.752 0.253 0.502
Cu: 0.919 0.081 0.000
C: 0.451 0.615 0.603
C: 0.615 0.451 0.103
Se: 0.166 0.632 0.636
Se: 0.330 0.457 0.120
Se: 0.457 0.330 0.620
Se: 0.632 0.166 0.136
Se: 0.760 0.928 0.635
Se: 0.928 0.760 0.135

---

Material: LiTa2As
Method: DFT, PBE
State: relaxed

## Properties
Its energy is -7.32 eV per atom. The crystal system is cubic. The space group is F-43m (216).

Lattice parameters (Å, degrees): 4.517 4.517 4.517 60.00 60.00 60.00
Fractional coordinates of all 4 atoms:
Li: 0.000 0.000 0.000
Ta: 0.250 0.250 0.250
Ta: 0.500 0.500 0.500
As: 0.750 0.750 0.750

---

Material: NaPaW
Method: DFT, PBE
State: relaxed

## Properties
Its energy is -5.99 eV per atom. The crystal system is cubic. The space group is F-43m (216).

Lattice parameters (Å, degrees): 4.575 4.575 4.575 60.00 60.00 60.00
Fractional coordinates of all 3 atoms:
Na: 0.000 0.000 0.000
Pa: 0.750 0.750 0.750
W: 0.250 0.250 0.250